(1)
Compound: HoAlAu4
Source: Alexandria via LeMat-Bulk
Functional: PBE
Structure: relaxed

POSCAR file:
```
HoAlAu4
1.0
5.690 -3.000 0.000
5.690 3.000 0.000
-2.069 0.000 7.029
Ho Al Au
2 2 8
direct
0.247 0.247 0.319
0.753 0.753 0.681
0.439 0.439 0.758
0.561 0.561 0.242
0.130 0.642 0.049
0.215 0.215 0.695
0.247 0.753 0.500
0.358 0.870 0.951
0.642 0.130 0.049
0.753 0.247 0.500
0.785 0.785 0.305
0.870 0.358 0.951
```

Properties
Distance to the lowest polymorph of the same formula in meV/atom: 2.6
DOS(E_F) in states/eV/atom: 0.393

(2)
Compound: Er3Hg2Pd3
Source: Alexandria via LeMat-Bulk
Functional: PBE
Structure: relaxed

POSCAR file:
```
Er3Hg2Pd3
1.0
8.436 0.000 0.000
-4.218 7.305 0.000
0.000 0.000 5.784
Er Hg Pd
6 4 6
direct
0.000 0.279 0.250
0.000 0.721 0.750
0.279 0.000 0.250
0.279 0.279 0.750
0.721 0.000 0.750
0.721 0.721 0.250
0.333 0.667 0.000
0.333 0.667 0.500
0.667 0.333 0.000
0.667 0.333 0.500
0.000 0.375 0.750
0.000 0.625 0.250
0.375 0.000 0.750
0.375 0.375 0.250
0.625 0.000 0.250
0.625 0.625 0.750
```

Properties
Distance to the lowest polymorph of the same formula in meV/atom: 43.6
DOS(E_F) in states/eV/atom: 0.513

(3)
Compound: Sc2GaMo2
Source: Alexandria via LeMat-Bulk
Functional: PBE
Structure: relaxed

POSCAR file:
```
Sc2GaMo2
1.0
6.797 0.000 0.000
0.000 6.797 0.000
0.000 0.000 4.159
Sc Ga Mo
4 2 4
direct
0.173 0.327 0.000
0.327 0.827 0.000
0.673 0.173 0.000
0.827 0.673 0.000
0.000 0.000 0.500
0.500 0.500 0.500
0.125 0.625 0.500
0.375 0.125 0.500
0.625 0.875 0.500
0.875 0.375 0.500
```

Properties
Distance to the lowest polymorph of the same formula in meV/atom: 0.0
DOS(E_F) in states/eV/atom: 1.056

(4)
Compound: Tb4PuAg5
Source: Alexandria via LeMat-Bulk
Functional: PBE
Structure: relaxed

POSCAR file:
```
Tb4PuAg5
1.0
3.614 0.000 0.000
0.000 3.614 0.000
0.000 0.000 18.710
Tb Pu Ag
4 1 5
direct
0.000 0.000 0.099
0.000 0.000 0.299
0.000 0.000 0.701
0.000 0.000 0.901
0.000 0.000 0.500
0.500 0.500 0.000
0.500 0.500 0.199
0.500 0.500 0.393
0.500 0.500 0.607
0.500 0.500 0.801
```

Properties
DOS(E_F) in states/eV/atom: 1.314

Uncorrected energy across the listed records, respectively: -4.100; -4.389; -7.492; -4.939 eV/atom.